Density functional theory data (GGA+U) for a geometry-optimized NpBe2CoO6 structure.

The structure belongs to space group C2/c (No. 15); the cell edges are 9.390, 8.424 and 5.029 Å and the angles 90.00°, 103.39° and 90.00°. The distinct sites, in fractional coordinates, are Np at (0.000, 0.201, 0.250), Be at (0.203, 0.085, 0.804), Co at (0.000, 0.413, 0.750), O at (0.113, 0.415, 0.124), O at (0.122, 0.248, 0.645) and O at (0.146, 0.050, 0.074).

The value obtained for the total magnetic moment is 8.0 Bohr magnetons per cell. As for the calculated density: 7.0 g/cm³. The total energy is -7.788 eV per atom.